No. 1
## Ac2Zn4CdGa3 (GGA-PBE)

Data for a relaxed Ac2Zn4CdGa3 crystal.

a = 4.483 Å, b = 4.483 Å, c = 10.862 Å
α = 90.00°, β = 90.00°, γ = 90.00°
Space group P-4m2 (No. 115)
Asymmetric unit:
Ac: 0.000 0.500 0.240 (multiplicity 2)
Zn: 0.000 0.000 0.000 (multiplicity 1)
Zn: 0.000 0.500 0.640 (multiplicity 2)
Zn: 0.500 0.500 0.000 (multiplicity 1)
Cd: 0.000 0.000 0.500 (multiplicity 1)
Ga: 0.000 0.500 0.873 (multiplicity 2)
Ga: 0.500 0.500 0.500 (multiplicity 1)

Fermi-level density of states = 0.3901 states/eV/atom
E_tot = -2.76 eV/atom
Energy relative to the elements = -0.42 eV per atom

No. 2
## CaBi3As (GGA-PBE)

Data for a relaxed CaBi3As crystal.

a = 5.782 Å, b = 5.782 Å, c = 5.782 Å
α = 90.00°, β = 90.00°, γ = 90.00°
Space group Pm-3m (No. 221)
Asymmetric unit:
Ca: 0.000 0.000 0.000 (multiplicity 1)
Bi: 0.000 0.000 0.500 (multiplicity 3)
As: 0.500 0.500 0.500 (multiplicity 1)

Fermi-level density of states = 0.7579 states/eV/atom
E_tot = -2.82 eV/atom
Offset from the most stable computed form = 696 meV/atom
Energy relative to the elements = 0.84 eV per atom

No. 3
## Cr2RhW (GGA-PBE)

Data for a relaxed Cr2RhW crystal.

a = 5.420 Å, b = 7.520 Å, c = 2.674 Å
α = 90.00°, β = 90.00°, γ = 90.00°
Space group Cmmm (No. 65)
Asymmetric unit:
Cr: 0.250 0.250 0.000 (multiplicity 4)
Rh: 0.000 0.000 0.500 (multiplicity 2)
W: 0.000 0.500 0.500 (multiplicity 2)

Fermi-level density of states = 1.5107 states/eV/atom
E_tot = -9.68 eV/atom
Offset from the most stable computed form = 161 meV/atom
Energy relative to the elements = 0.20 eV per atom

No. 4
## PaAlVRu (GGA-PBE)

Data for a relaxed PaAlVRu crystal.

a = 6.511 Å, b = 6.511 Å, c = 6.511 Å
α = 90.00°, β = 90.00°, γ = 90.00°
Space group F-43m (No. 216)
Asymmetric unit:
Pa: 0.000 0.000 0.000 (multiplicity 4)
Al: 0.000 0.000 0.500 (multiplicity 4)
V: 0.250 0.250 0.250 (multiplicity 4)
Ru: 0.250 0.250 0.750 (multiplicity 4)

Fermi-level density of states = 1.0129 states/eV/atom
E_tot = -8.21 eV/atom
Energy relative to the elements = -0.31 eV per atom

No. 5
## PrNdNi10 (GGA-PBE)

Data for a relaxed PrNdNi10 crystal.

a = 3.966 Å, b = 4.976 Å, c = 8.610 Å
α = 90.00°, β = 90.00°, γ = 90.00°
Space group Pmmm (No. 47)
Asymmetric unit:
Pr: 0.000 0.000 0.000 (multiplicity 1)
Nd: 0.000 0.500 0.500 (multiplicity 1)
Ni: 0.000 0.000 0.334 (multiplicity 2)
Ni: 0.000 0.500 0.168 (multiplicity 2)
Ni: 0.500 0.000 0.500 (multiplicity 1)
Ni: 0.500 0.250 0.251 (multiplicity 4)
Ni: 0.500 0.500 0.000 (multiplicity 1)

Fermi-level density of states = 1.1305 states/eV/atom
E_tot = -5.88 eV/atom
Energy relative to the elements = -0.27 eV per atom

No. 6
## Tl2CuSi (GGA-PBE)

Data for a relaxed Tl2CuSi crystal.

a = 3.321 Å, b = 4.583 Å, c = 12.321 Å
α = 90.00°, β = 90.00°, γ = 90.00°
Space group Imm2 (No. 44)
Asymmetric unit:
Tl: 0.000 0.000 0.000 (multiplicity 2)
Tl: 0.000 0.500 0.204 (multiplicity 2)
Cu: 0.000 0.500 0.767 (multiplicity 2)
Si: 0.000 0.000 0.403 (multiplicity 2)

Fermi-level density of states = 0.3048 states/eV/atom
E_tot = -3.22 eV/atom
Offset from the most stable computed form = 192 meV/atom
E_form (uncorrected) = 1.39 eV/f.u.